1.
Density functional theory data (PBE) for an optimized crystal structure of La3InIr.

Computed properties:
Energy of formation in kJ per mole of atoms: 1.8
Excess energy over the best structure of this formula in the dataset in meV/atom: 576.3
Calculated volume in Å³/atom: 38.48
Electronic total energy in eV/cell: -26.29

a b c (Å): 4.7857 4.7857 8.4005
angles (deg): 90.00 90.00 90.00
Fractional coordinates of all 5 atoms:
La 0.0000 0.0000 0.0000
La 0.0000 0.5000 0.6667
La 0.5000 0.0000 0.6667
In 0.0000 0.0000 0.3840
Ir 0.5000 0.5000 0.8578

---

2.
Density functional theory data (PBE) for an optimized crystal structure of La3InIr.

Computed properties:
Energy of formation in kJ per mole of atoms: -27.3
Excess energy over the best structure of this formula in the dataset in meV/atom: 274.6
Calculated volume in Å³/atom: 37.66
Electronic total energy in eV/cell: -55.59

a b c (Å): 5.1567 5.1567 16.3512
angles (deg): 90.00 90.00 120.00
Fractional coordinates of all 10 atoms:
La 0.0000 0.0000 0.2500
La 0.0000 0.0000 0.7500
La 0.3333 0.6667 0.0849
La 0.3333 0.6667 0.4151
La 0.6667 0.3333 0.5849
La 0.6667 0.3333 0.9151
In 0.0000 0.0000 0.0000
In 0.0000 0.0000 0.5000
Ir 0.3333 0.6667 0.2500
Ir 0.6667 0.3333 0.7500

---

3.
Density functional theory data (PBE) for an optimized crystal structure of La2InIr2.

Computed properties:
Energy of formation in kJ per mole of atoms: -49.0
Calculated volume in Å³/atom: 26.22
Electronic total energy in eV/cell: -32.86

a b c (Å): 5.7031 5.7031 5.7031
angles (deg): 120.03 120.03 89.95
Fractional coordinates of all 5 atoms:
La 0.2500 0.7500 0.5000
La 0.7500 0.2500 0.5000
In 0.0000 0.0000 0.0000
Ir 0.3335 0.3335 0.0000
Ir 0.6665 0.6665 0.0000

---

4.
Density functional theory data (PBE) for an optimized crystal structure of La3InIr.

Computed properties:
Energy of formation in kJ per mole of atoms: -49.5
Excess energy over the best structure of this formula in the dataset in meV/atom: 44.7
Calculated volume in Å³/atom: 31.54
Electronic total energy in eV/cell: -57.89

a b c (Å): 8.5148 8.5148 11.0009
angles (deg): 123.00 123.00 28.56
Fractional coordinates of all 10 atoms:
La 0.0950 0.0950 0.4593
La 0.3310 0.3310 0.1964
La 0.3634 0.3634 0.7817
La 0.6366 0.6366 0.2183
La 0.6690 0.6690 0.8036
La 0.9050 0.9050 0.5407
In 0.0707 0.0707 0.9251
In 0.9293 0.9293 0.0749
Ir 0.2683 0.2683 0.4101
Ir 0.7317 0.7317 0.5899

---

5.
Density functional theory data (PBE) for an optimized crystal structure of La4In2Ir.

Computed properties:
Energy of formation in kJ per mole of atoms: -38.5
Excess energy over the best structure of this formula in the dataset in meV/atom: 131.6
Calculated volume in Å³/atom: 35.48
Electronic total energy in eV/cell: -36.84

a b c (Å): 9.0083 9.0083 9.0083
angles (deg): 144.23 144.23 51.48
Fractional coordinates of all 7 atoms:
La 0.0000 0.5000 0.5000
La 0.1798 0.1798 0.0000
La 0.5000 0.0000 0.5000
La 0.8202 0.8202 0.0000
In 0.3752 0.3752 0.0000
In 0.6248 0.6248 0.0000
Ir 0.0000 0.0000 0.0000

---

6.
Density functional theory data (PBE) for an optimized crystal structure of LaIn3Ir2.

Computed properties:
Energy of formation in kJ per mole of atoms: -34.3
Excess energy over the best structure of this formula in the dataset in meV/atom: 0.0
Calculated volume in Å³/atom: 22.68
Electronic total energy in eV/cell: -98.98

a b c (Å): 9.4422 9.4422 11.0424
angles (deg): 109.35 109.35 26.16
Fractional coordinates of all 18 atoms:
La 0.0000 0.0000 0.0000
La 0.1658 0.1658 0.6985
La 0.8342 0.8342 0.3015
In 0.0370 0.0370 0.3367
In 0.2164 0.2164 0.3981
In 0.3270 0.3270 0.0402
In 0.3698 0.3698 0.7999
In 0.5000 0.5000 0.5000
In 0.6302 0.6302 0.2001
In 0.6730 0.6730 0.9598
In 0.7836 0.7836 0.6019
In 0.9630 0.9630 0.6633
Ir 0.2104 0.2104 0.1429
Ir 0.3671 0.3671 0.5468
Ir 0.4777 0.4777 0.1894
Ir 0.5223 0.5223 0.8106
Ir 0.6329 0.6329 0.4532
Ir 0.7896 0.7896 0.8571

---

7.
Density functional theory data (PBE) for an optimized crystal structure of La3InIr.

Computed properties:
Energy of formation in kJ per mole of atoms: -53.8
Excess energy over the best structure of this formula in the dataset in meV/atom: 0.0
Calculated volume in Å³/atom: 31.20
Electronic total energy in eV/cell: -58.34

a b c (Å): 5.9724 7.6321 7.2786
angles (deg): 90.00 109.88 90.00
Fractional coordinates of all 10 atoms:
La 0.1465 0.0000 0.1421
La 0.3130 0.2326 0.7128
La 0.3132 0.7689 0.7130
La 0.6868 0.2689 0.2870
La 0.6870 0.7326 0.2872
La 0.8535 0.5000 0.8579
In 0.2073 0.5010 0.3164
In 0.7927 0.0010 0.6836
Ir 0.3827 0.5008 0.9881
Ir 0.6173 0.0008 0.0119

---

8.
Density functional theory data (PBE) for an optimized crystal structure of La8In2Ir3.

Computed properties:
Energy of formation in kJ per mole of atoms: -42.7
Calculated volume in Å³/atom: 31.65
Electronic total energy in eV/cell: -77.23

a b c (Å): 9.2946 5.1303 9.2988
angles (deg): 90.00 111.88 90.00
Fractional coordinates of all 13 atoms:
La 0.1091 0.0000 0.3908
La 0.1447 0.5000 0.8678
La 0.3674 0.5000 0.6450
La 0.3901 0.0000 0.1105
La 0.6099 0.0000 0.8895
La 0.6326 0.5000 0.3550
La 0.8553 0.5000 0.1322
La 0.8909 0.0000 0.6092
In 0.2439 0.5000 0.2567
In 0.7561 0.5000 0.7433
Ir 0.2387 0.0000 0.7393
Ir 0.5000 0.5000 0.0000
Ir 0.7613 0.0000 0.2607

---

9.
Density functional theory data (PBE) for an optimized crystal structure of LaInIr2.

Computed properties:
Energy of formation in kJ per mole of atoms: 31.3
Calculated volume in Å³/atom: 19.89
Electronic total energy in eV/cell: -24.09

a b c (Å): 10.1317 10.1317 10.1317
angles (deg): 17.22 17.22 17.22
Fractional coordinates of all 4 atoms:
La 0.0000 0.0000 0.0000
In 0.7684 0.7684 0.7684
Ir 0.2450 0.2450 0.2450
Ir 0.5096 0.5096 0.5096

---

10.
Density functional theory data (PBE) for an optimized crystal structure of La5In2Ir.

Computed properties:
Energy of formation in kJ per mole of atoms: -49.4
Calculated volume in Å³/atom: 32.20
Electronic total energy in eV/cell: -86.14

a b c (Å): 8.2620 12.6590 4.9264
angles (deg): 90.00 90.00 90.00
Fractional coordinates of all 16 atoms:
La 0.0000 0.0000 0.0000
La 0.1349 0.2991 0.0000
La 0.1841 0.5693 0.5000
La 0.3159 0.0693 0.5000
La 0.3650 0.7991 0.0000
La 0.5000 0.5000 0.0000
La 0.6350 0.2009 0.0000
La 0.6841 0.9307 0.5000
La 0.8159 0.4307 0.5000
La 0.8650 0.7009 0.0000
In 0.0774 0.8322 0.5000
In 0.4226 0.3322 0.5000
In 0.5774 0.6678 0.5000
In 0.9226 0.1678 0.5000
Ir 0.0000 0.5000 0.0000
Ir 0.5000 0.0000 0.0000

---

11.
Density functional theory data (PBE) for an optimized crystal structure of La2InIr.

Computed properties:
Energy of formation in kJ per mole of atoms: -46.7
Calculated volume in Å³/atom: 27.49
Electronic total energy in eV/cell: -23.39

a b c (Å): 5.7528 5.7528 5.7528
angles (deg): 135.89 121.57 76.02
Fractional coordinates of all 4 atoms:
La 0.2050 0.2050 0.0000
La 0.7950 0.7950 0.0000
In 0.5000 0.0000 0.5000
Ir 0.0000 0.5000 0.5000

---

12.
Density functional theory data (PBE) for an optimized crystal structure of La2InIr.

Computed properties:
Energy of formation in kJ per mole of atoms: -33.7
Calculated volume in Å³/atom: 29.34
Electronic total energy in eV/cell: -45.70

a b c (Å): 6.8010 6.8010 6.8010
angles (deg): 104.06 104.06 120.95
Fractional coordinates of all 8 atoms:
La 0.0654 0.6250 0.9404
La 0.3750 0.3154 0.4404
La 0.6846 0.1250 0.0596
La 0.8750 0.9346 0.5596
In 0.2500 0.7500 0.5000
In 0.5000 0.5000 0.0000
Ir 0.0000 0.0000 0.0000
Ir 0.7500 0.2500 0.5000

---

13.
Density functional theory data (PBE) for an optimized crystal structure of La3InIr.

Computed properties:
Energy of formation in kJ per mole of atoms: -49.6
Excess energy over the best structure of this formula in the dataset in meV/atom: 43.0
Calculated volume in Å³/atom: 33.67
Electronic total energy in eV/cell: -57.91

a b c (Å): 7.6190 7.6190 7.6190
angles (deg): 63.46 63.46 63.46
Fractional coordinates of all 10 atoms:
La 0.1658 0.7500 0.3342
La 0.2500 0.6658 0.8342
La 0.3342 0.1658 0.7500
La 0.6658 0.8342 0.2500
La 0.7500 0.3342 0.1658
La 0.8342 0.2500 0.6658
In 0.2500 0.2500 0.2500
In 0.7500 0.7500 0.7500
Ir 0.0000 0.0000 0.0000
Ir 0.5000 0.5000 0.5000

---

14.
Density functional theory data (PBE) for an optimized crystal structure of La3InIr.

Computed properties:
Energy of formation in kJ per mole of atoms: 7.9
Excess energy over the best structure of this formula in the dataset in meV/atom: 638.8
Calculated volume in Å³/atom: 32.56
Electronic total energy in eV/cell: -51.95

a b c (Å): 9.2778 9.2778 5.7495
angles (deg): 90.00 90.00 138.85
Fractional coordinates of all 10 atoms:
La 0.0000 0.0000 0.0000
La 0.0000 0.0000 0.5000
La 0.1113 0.4170 0.7500
La 0.4170 0.1113 0.2500
La 0.5830 0.8887 0.7500
La 0.8887 0.5830 0.2500
In 0.1761 0.8239 0.7500
In 0.8239 0.1761 0.2500
Ir 0.4827 0.5173 0.7500
Ir 0.5173 0.4827 0.2500

---

15.
Density functional theory data (PBE) for an optimized crystal structure of La3InIr.

Computed properties:
Energy of formation in kJ per mole of atoms: -43.6
Excess energy over the best structure of this formula in the dataset in meV/atom: 105.1
Calculated volume in Å³/atom: 28.90
Electronic total energy in eV/cell: -57.29

a b c (Å): 4.9702 8.5879 6.7701
angles (deg): 90.00 90.17 90.00
Fractional coordinates of all 10 atoms:
La 0.2493 0.2500 0.4275
La 0.2500 0.5394 0.8055
La 0.2500 0.9606 0.8055
La 0.7500 0.0394 0.1945
La 0.7500 0.4606 0.1945
La 0.7507 0.7500 0.5725
In 0.2494 0.7500 0.2486
In 0.7506 0.2500 0.7514
Ir 0.2536 0.2500 0.0002
Ir 0.7464 0.7500 0.9998

---

16.
Density functional theory data (PBE) for an optimized crystal structure of La5InIr.

Computed properties:
Energy of formation in kJ per mole of atoms: -32.5
Excess energy over the best structure of this formula in the dataset in meV/atom: 49.2
Calculated volume in Å³/atom: 32.51
Electronic total energy in eV/cell: -77.19

a b c (Å): 6.4406 6.4406 12.0164
angles (deg): 103.70 103.70 72.83
Fractional coordinates of all 14 atoms:
La 0.0147 0.9853 0.7500
La 0.0360 0.4285 0.1357
La 0.2087 0.5542 0.4488
La 0.4285 0.0360 0.6357
La 0.4458 0.7913 0.0512
La 0.5542 0.2087 0.9488
La 0.5715 0.9640 0.3643
La 0.7913 0.4458 0.5512
La 0.9640 0.5715 0.8643
La 0.9853 0.0147 0.2500
In 0.4450 0.5550 0.7500
In 0.5550 0.4450 0.2500
Ir 0.0000 0.0000 0.0000
Ir 0.0000 0.0000 0.5000

---

17.
Density functional theory data (PBE) for an optimized crystal structure of LaInIr2.

Computed properties:
Energy of formation in kJ per mole of atoms: -21.5
Calculated volume in Å³/atom: 20.03
Electronic total energy in eV/cell: -26.28

a b c (Å): 5.6285 5.6285 5.0206
angles (deg): 105.43 105.43 31.62
Fractional coordinates of all 4 atoms:
La 0.0000 0.0000 0.0000
In 0.7906 0.7906 0.3647
Ir 0.2355 0.2355 0.8330
Ir 0.5327 0.5327 0.5118

---

18.
Density functional theory data (PBE) for an optimized crystal structure of La4In2Ir.

Computed properties:
Energy of formation in kJ per mole of atoms: -51.1
Excess energy over the best structure of this formula in the dataset in meV/atom: 0.0
Calculated volume in Å³/atom: 31.68
Electronic total energy in eV/cell: -37.76

a b c (Å): 6.4495 6.4495 9.0293
angles (deg): 118.57 118.57 43.54
Fractional coordinates of all 7 atoms:
La 0.0746 0.0746 0.3494
La 0.3296 0.3296 0.9389
La 0.6704 0.6704 0.0611
La 0.9254 0.9254 0.6506
In 0.3613 0.3613 0.3417
In 0.6387 0.6387 0.6583
Ir 0.0000 0.0000 0.0000

---

19.
Density functional theory data (PBE) for an optimized crystal structure of La2InIr.

Computed properties:
Energy of formation in kJ per mole of atoms: -46.2
Calculated volume in Å³/atom: 27.52
Electronic total energy in eV/cell: -23.37

a b c (Å): 6.9059 6.9059 6.9059
angles (deg): 149.36 138.76 52.24
Fractional coordinates of all 4 atoms:
La 0.0000 0.0000 0.0000
La 0.6997 0.1997 0.5000
In 0.3145 0.8145 0.5000
Ir 0.4972 0.4972 0.0000

---

20.
Density functional theory data (PBE) for an optimized crystal structure of La3InIr.

Computed properties:
Energy of formation in kJ per mole of atoms: -51.8
Excess energy over the best structure of this formula in the dataset in meV/atom: 20.7
Calculated volume in Å³/atom: 33.48
Electronic total energy in eV/cell: -116.26

a b c (Å): 7.9685 11.0370 7.6130
angles (deg): 90.00 90.00 90.00
Fractional coordinates of all 20 atoms:
La 0.0129 0.2500 0.0988
La 0.1911 0.0464 0.6884
La 0.1911 0.4536 0.6884
La 0.3089 0.5464 0.1884
La 0.3089 0.9536 0.1884
La 0.4871 0.7500 0.5988
La 0.5129 0.2500 0.4012
La 0.6911 0.0464 0.8116
La 0.6911 0.4536 0.8116
La 0.8089 0.5464 0.3116
La 0.8089 0.9536 0.3116
La 0.9871 0.7500 0.9012
In 0.0796 0.7500 0.4747
In 0.4204 0.2500 0.9747
In 0.5796 0.7500 0.0253
In 0.9204 0.2500 0.5253
Ir 0.0000 0.0000 0.0000
Ir 0.0000 0.5000 0.0000
Ir 0.5000 0.0000 0.5000
Ir 0.5000 0.5000 0.5000

---

21.
Density functional theory data (PBE) for an optimized crystal structure of La3InIr.

Computed properties:
Energy of formation in kJ per mole of atoms: -45.8
Excess energy over the best structure of this formula in the dataset in meV/atom: 82.4
Calculated volume in Å³/atom: 31.15
Electronic total energy in eV/cell: -115.03

a b c (Å): 10.2153 10.2153 6.1800
angles (deg): 100.56 100.56 86.25
Fractional coordinates of all 20 atoms:
La 0.0846 0.7776 0.9575
La 0.1316 0.5364 0.3896
La 0.2224 0.9154 0.5425
La 0.3319 0.4343 0.9320
La 0.4343 0.3319 0.4320
La 0.4636 0.8684 0.1104
La 0.5364 0.1316 0.8896
La 0.5657 0.6681 0.5680
La 0.6681 0.5657 0.0680
La 0.7776 0.0846 0.4575
La 0.8684 0.4636 0.6104
La 0.9154 0.2224 0.0425
In 0.1165 0.2325 0.5704
In 0.2325 0.1165 0.0704
In 0.7675 0.8835 0.9296
In 0.8835 0.7675 0.4296
Ir 0.3189 0.6811 0.2500
Ir 0.3196 0.6804 0.7500
Ir 0.6804 0.3196 0.2500
Ir 0.6811 0.3189 0.7500

---

22.
Density functional theory data (PBE) for an optimized crystal structure of LaInIr.

Computed properties:
Energy of formation in kJ per mole of atoms: -44.2
Calculated volume in Å³/atom: 24.93
Electronic total energy in eV/cell: -17.90

a b c (Å): 4.6528 4.6528 3.9889
angles (deg): 90.00 90.00 120.00
Fractional coordinates of all 3 atoms:
La 0.0000 0.0000 0.0000
In 0.6667 0.3333 0.4996
Ir 0.3333 0.6667 0.4954